Here is an optimized crystal structure of HfCo2BiSe from Alexandria via LeMat-Bulk. Energies are from PBE. Values from VASP.

```
&SYSTEM
  ibrav = 0, nat = 5, ntyp = 4
/
ATOMIC_SPECIES
Hf 178.49 Hf.upf
Co 58.93 Co.upf
Bi 208.98 Bi.upf
Se 78.96 Se.upf
ATOMIC_POSITIONS angstrom
Hf 0.0000 0.0000 0.0000
Co 0.0000 2.3105 0.0000
Co 2.3105 0.0000 0.0000
Bi 0.0000 0.0000 2.9021
Se 2.3105 2.3105 2.9021
CELL_PARAMETERS angstrom
4.6211 0.0000 0.0000
0.0000 4.6211 0.0000
0.0000 0.0000 5.8041
```

Results
The magnetization is 2.24 μB per cell. Its density of states at the Fermi level is 2.03 states/eV per atom. The value obtained for the uncorrected formation energy is 1.192 eV/atom.

Here is an optimized crystal structure of SrHfCo2Bi from Alexandria via LeMat-Bulk. Energies are from PBE. Values from VASP.

```
&SYSTEM
  ibrav = 0, nat = 5, ntyp = 4
/
ATOMIC_SPECIES
Sr 87.62 Sr.upf
Hf 178.49 Hf.upf
Co 58.93 Co.upf
Bi 208.98 Bi.upf
ATOMIC_POSITIONS angstrom
Sr 0.0000 0.0000 0.0000
Hf 2.3301 2.3301 2.9047
Co 0.0000 2.3301 0.0000
Co 2.3301 0.0000 0.0000
Bi 0.0000 0.0000 2.9047
CELL_PARAMETERS angstrom
4.6602 0.0000 0.0000
0.0000 4.6602 0.0000
0.0000 0.0000 5.8095
```

Results
The magnetization is 2.68 μB per cell. The calculation puts the formation energy at 830 kJ/mol of formula units. Its density of states at the Fermi level is 1.58 states/eV per atom.